[1]
5
Lattice="-0.668 4.063 2.618 -2.864 -2.202 2.686 3.705 -1.267 2.911" Properties=species:S:1:pos:R:3 comment="YNiAgIr2 (PBE-GGA, relaxed)" e_form_ev_per_atom=1.07 dft_energy_ev_per_atom=-5.498 volume_a3_per_cell=107.2 pbc="T T T"
Y 0.086 0.297 4.108
Ag 0.000 0.000 0.000
Ni -1.432 -1.101 1.343
Ir 1.852 -0.634 1.456
Ir -0.334 2.031 1.309

=====

[2]
18
Lattice="-1.549 4.473 2.405 -2.793 -1.921 -4.087 -5.626 -5.373 6.370" Properties=species:S:1:pos:R:3 comment="NpAgIrO6 (PBE-GGA, relaxed)" dft_energy_ev_per_atom=-7.508 volume_a3_per_cell=245.5 raw_formation_energy_ev_per_atom=-1.463 pbc="T T T"
O -6.394 -1.761 3.019
O -8.164 -1.421 5.246
O -4.181 -1.847 4.902
Ag -2.813 -2.687 3.185
Ir -3.785 -1.133 -0.330
O -6.112 0.323 5.026
Np -6.598 -3.820 2.855
O -5.787 -0.974 -0.213
O -3.856 -3.144 -0.338
O -4.096 -1.087 -2.318
O -3.574 -1.060 1.669
Ir -6.183 -1.688 5.019
Ag 0.000 0.000 0.000
O -3.593 0.867 -0.225
O -6.375 -3.688 4.913
Np -3.370 0.999 1.834
O -5.872 -1.734 7.006
O -1.804 -1.400 -0.557

=====

[3]
4
Lattice="-1.563 1.458 4.190 1.183 -2.350 3.899 2.987 1.918 3.087" Properties=species:S:1:pos:R:3 comment="NpAgIrPd (PBE-GGA, relaxed)" e_form_ev_per_atom=-0.08 dft_energy_ev_per_atom=-7.538 volume_a3_per_cell=73.6 pbc="T T T"
Ag 0.000 0.000 0.000
Pd 0.652 0.257 2.794
Np 1.303 0.513 5.588
Ir 1.955 0.770 8.382

=====

[4]
4
Lattice="-3.350 0.227 3.760 1.575 -0.092 4.788 -0.324 4.153 2.840" Properties=species:S:1:pos:R:3 comment="PmNpAgIr (PBE-GGA, relaxed)" e_form_ev_per_atom=-0.09 dft_energy_ev_per_atom=-7.445 volume_a3_per_cell=90.6 pbc="T T T"
Ag -1.574 3.216 8.542
Pm 0.000 0.000 0.000
Np -1.050 2.144 5.694
Ir -0.525 1.072 2.847

=====

[5]
11
Lattice="-1.498 5.841 0.833 1.525 -3.432 4.791 6.375 1.050 -2.408" Properties=species:S:1:pos:R:3 comment="NpAg2Ir2S6 (PBE-GGA, relaxed)" dft_energy_ev_per_atom=-6.098 volume_a3_per_cell=214.6 raw_formation_energy_ev_per_atom=-0.541 pbc="T T T"
S 1.816 1.039 1.048
S 4.586 2.420 2.168
S 5.142 -0.398 0.428
Ir 3.706 0.181 2.269
Ir 2.696 3.279 0.947
Ag -1.063 4.506 1.403
S 2.401 0.354 4.283
S 1.260 3.857 2.788
Np 3.187 0.525 -1.204
S 4.000 3.105 -1.067
Ag 1.090 -2.096 4.221

=====

[6]
15
Lattice="-1.774 6.619 3.522 -2.996 -1.609 -6.912 -2.428 -3.995 6.284" Properties=species:S:1:pos:R:3 comment="Np3Ag3IrS8 (PBE-GGA, relaxed)" dft_energy_ev_per_atom=-6.667 volume_a3_per_cell=331.0 raw_formation_energy_ev_per_atom=-0.716 pbc="T T T"
Np -2.712 -2.802 -0.314
S -3.704 3.147 0.648
S -4.573 1.208 3.852
S -2.625 -0.194 -0.959
S -2.157 -1.414 5.330
S -3.140 2.252 7.281
S -3.494 -2.132 2.246
Ag -1.498 -0.804 -3.456
S -5.041 2.429 -2.436
Ag 0.000 0.000 0.000
S -4.058 -1.237 -4.387
Ag -2.385 2.505 -1.695
Ir -1.214 -1.997 3.142
Np -3.599 0.507 1.447
Np -2.101 1.312 4.903

=====

[7]
8
Lattice="-1.874 -3.973 0.373 2.946 -1.656 -2.832 4.190 -4.110 3.329" Properties=species:S:1:pos:R:3 comment="AgIrO2 (PBE-GGA, relaxed)" dft_energy_ev_per_atom=-5.290 volume_a3_per_cell=116.3 raw_formation_energy_ev_per_atom=0.117 pbc="T T T"
Ag 3.836 -4.290 -0.366
O 3.301 -5.057 1.809
Ir 1.426 -5.449 1.237
O 2.809 -2.231 -0.922
Ir 0.000 0.000 0.000
O 4.323 -8.145 0.112
Ag 0.536 -2.815 -1.229
O 0.089 -4.046 0.743

=====

[8]
16
Lattice="4.868 0.000 2.099 1.475 7.223 3.273 0.252 0.528 6.109" Properties=species:S:1:pos:R:3 comment="Ag2IrO5 (PBE-GGA, relaxed)" dft_energy_ev_per_atom=-5.212 volume_a3_per_cell=204.2 raw_formation_energy_ev_per_atom=-0.293 pbc="T T T"
Ag 3.647 3.538 4.822
O 3.346 2.690 2.444
O 2.040 1.739 5.149
O 5.203 5.087 4.831
O 4.203 0.276 2.288
Ag 1.739 0.891 2.770
O 0.937 2.347 1.393
Ag 4.590 7.413 9.548
Ir 5.865 5.826 6.482
Ir 5.253 2.478 7.900
O 1.183 4.152 5.304
Ag 2.524 4.766 7.427
O 1.658 6.565 6.034
O 4.449 2.081 6.200
O 4.076 6.223 7.065
O 2.786 5.429 3.800

=====

[9]
8
Lattice="-0.425 -2.862 -8.526 -7.276 -4.908 2.011 -4.937 -2.449 -3.685" Properties=species:S:1:pos:R:3 comment="Ag2IrO (PBE-GGA, relaxed)" dft_energy_ev_per_atom=-4.511 volume_a3_per_cell=150.0 raw_formation_energy_ev_per_atom=0.370 pbc="T T T"
O -8.032 -5.621 -2.466
Ag -5.883 -4.364 -1.704
Ag -9.610 -8.075 -8.694
Ag -2.361 -2.688 -5.025
Ag -7.422 -5.311 -4.978
O -3.850 -3.885 -3.258
Ir -4.606 -4.598 -7.734
Ir 0.000 0.000 0.000

=====

[10]
11
Lattice="6.361 0.000 0.000 -3.180 4.665 -1.440 0.000 0.017 6.299" Properties=species:S:1:pos:R:3 comment="AgIr2O8 (PBE-GGA, relaxed)" dft_energy_ev_per_atom=-5.736 volume_a3_per_cell=187.1 raw_formation_energy_ev_per_atom=-0.260 pbc="T T T"
O 3.180 3.132 0.769
O 0.000 1.996 0.704
O 3.180 2.685 4.155
Ag 0.000 0.000 0.000
O -1.358 3.552 2.611
O 1.822 1.130 2.248
Ir 3.180 2.393 2.363
O 0.000 1.550 4.090
O 1.358 3.552 2.611
O 4.539 1.130 2.248
Ir 0.000 2.288 2.496

=====

[11]
8
Lattice="-3.026 -2.048 -2.856 1.668 -4.154 1.212 -5.085 -3.438 4.086" Properties=species:S:1:pos:R:3 comment="AgIr2O (PBE-GGA, relaxed)" dft_energy_ev_per_atom=-5.768 volume_a3_per_cell=142.0 raw_formation_energy_ev_per_atom=0.615 pbc="T T T"
Ir -1.620 -4.398 0.465
Ir -5.560 -6.614 1.219
Ag -4.395 -4.293 0.203
Ir -1.941 -1.973 0.344
O -2.048 -5.347 2.238
O -0.679 -3.101 -0.822
Ir -3.764 -6.295 2.853
Ag 0.000 0.000 0.000

=====

[12]
5
Lattice="-2.880 -2.872 0.917 1.565 -2.508 -2.941 2.577 -1.687 2.810" Properties=species:S:1:pos:R:3 comment="AgIr3O (PBE-GGA, relaxed)" e_above_lowest_polymorph_ev_per_atom=0.000 dft_energy_ev_per_atom=-6.029 volume_a3_per_cell=72.5 raw_formation_energy_ev_per_atom=0.849 pbc="T T T"
Ir 0.782 -1.254 -1.470
Ir -1.440 -1.436 0.458
O 0.000 0.000 0.000
Ir 1.289 -0.844 1.405
Ag 0.631 -3.534 0.393